Record 1
The following is a PBE-GGA calculation of Pm2SnO after structural relaxation, from Alexandria.

Cell lengths 4.6323, 4.6323, 9.1024 Å; angles 90.01, 90.01, 90.00 degrees
Atoms (fractional coordinates):
Sn 0.2502 0.2502 0.7985
Pm 0.7502 0.7502 0.8356
Pm 0.2498 0.2498 0.1644
O 0.7500 0.7500 0.5773
Pm 0.2500 0.7500 0.5000
O 0.2500 0.2500 0.4227
Sn 0.7498 0.7498 0.2015
Pm 0.7500 0.2500 0.5000

Calculated values
For the density of states at the Fermi level, the calculation gives 2.62 states/eV per cell. For the uncorrected formation energy, the calculation gives -1.845 eV per atom. The space group is No. 129. Its offset from the most stable computed form is 0 meV/atom.


Record 2
The following is a PBE-GGA calculation of Ba2CrPb after structural relaxation, from Alexandria.

Cell lengths 5.7850, 5.7850, 5.7850 Å; angles 60.00, 60.00, 60.00 degrees
Atoms (fractional coordinates):
Pb 0.7500 0.7500 0.7500
Cr 0.5000 0.5000 0.5000
Ba 0.0000 0.0000 0.0000
Ba 0.2500 0.2500 0.2500

Calculated values
For the density of states at the Fermi level, the calculation gives 3.33 states/eV per cell. The energy of formation comes out at 0.236 eV/atom. The space group is No. 216.


Record 3
The following is a PBE-GGA calculation of CdOsAu2 after structural relaxation, from Alexandria.

Cell lengths 2.7679, 4.2867, 5.8970 Å; angles 90.00, 90.00, 90.00 degrees
Atoms (fractional coordinates):
Au 0.5000 0.5000 0.2508
Cd 0.0000 0.0000 0.5060
Au 0.0000 0.0000 0.9881
Os 0.5000 0.5000 0.7552

Calculated values
For the density of states at the Fermi level, the calculation gives 2.94 states/eV per cell. The energy of formation comes out at 0.458 eV/atom. The space group is No. 25.